# 1
Crystalline Er3ZrH8 at its relaxed geometry. Source: Alexandria via LeMat-Bulk, functional PBE.

The structure in POSCAR format:
```
Er3ZrH8
1.0
-4.8227 -0.9348 1.0340
0.5197 -4.6612 -1.7901
1.2934 -1.6127 4.5747
H Er Zr
8 3 1
direct
0.2410 0.7590 0.2410
0.7590 0.2410 0.7590
0.7590 0.2410 0.2410
0.7590 0.7590 0.7590
0.2410 0.7590 0.7590
0.2410 0.2410 0.7590
0.2410 0.2410 0.2410
0.7590 0.7590 0.2410
0.5000 0.0000 0.5000
0.5000 0.5000 0.0000
0.0000 0.5000 0.5000
0.0000 0.0000 0.0000
```

## Properties
DFT total energy (eV for the cell shown): -57.21

=====

# 2
Crystalline LiLa3Pu2Te6 at its relaxed geometry. Source: Alexandria via LeMat-Bulk, functional PBE.

The structure in POSCAR format:
```
LiLa3Pu2Te6
1.0
-3.9013 -2.2324 0.3367
3.9330 -6.0690 5.3319
-1.3382 7.8219 6.1835
Te Pu La Li
6 2 3 1
direct
0.3311 0.4228 0.6622
0.9988 0.7620 0.9975
0.0012 0.2380 0.0025
0.3388 0.9133 0.6775
0.6689 0.5772 0.3378
0.6612 0.0867 0.3225
0.8338 0.6668 0.6675
0.1662 0.3332 0.3325
0.1674 0.8336 0.3348
0.8326 0.1664 0.6652
0.5000 0.5000 0.0000
0.5000 0.0000 0.0000
```

## Properties
Energy relative to the elements, uncorrected (eV/atom): -1.3485

=====

# 3
Crystalline CaSeNO2 at its relaxed geometry. Source: Alexandria via LeMat-Bulk, functional PBE.

The structure in POSCAR format:
```
CaSeNO2
1.0
-3.7963 1.1167 -0.4123
-1.1227 -3.8168 -0.0002
-0.3805 0.1117 3.8064
Se Ca O N
1 1 2 1
direct
0.0000 0.0000 0.0000
0.5000 0.5000 0.5000
0.0000 0.5000 0.0000
0.5000 0.0000 0.0000
0.0000 0.0000 0.5000
```

## Properties
Energy relative to the elements, uncorrected (eV/atom): -0.6334